# 1
Material: CrAgAs3
Method: DFT, PBE
State: relaxed

```
CrAgAs3
1.0
-4.417 -1.417 0.591
0.131 -2.141 -4.155
1.530 -3.908 2.062
Cr As Ag
1 3 1
Direct
0.000 0.000 0.000
0.000 0.500 0.000
0.000 0.000 0.500
0.500 0.000 0.000
0.500 0.500 0.500
```

Results
The calculation puts the energy relative to the elements at 2.2 eV/f.u. The size of the total moment is 0.53 μB/f.u. As for the crystal system: cubic. The total energy comes out at -24.24 eV per formula unit.

***

# 2
Material: Cr2AgAs
Method: DFT, PBE
State: relaxed

```
Cr2AgAs
1.0
-5.443 -6.284 -2.190
-3.841 -7.683 -0.366
-5.991 -6.141 0.554
Ag As Cr
1 1 2
Direct
0.250 0.250 0.250
0.750 0.750 0.750
0.008 0.008 0.008
0.492 0.492 0.492
```

Results
The calculation puts the energy relative to the elements at 2.1 eV/f.u. The size of the total moment is 0.43 μB/f.u. As for the crystal system: trigonal. The total energy comes out at -24.62 eV per formula unit.

***

# 3
Material: Cr2AgAs
Method: DFT, PBE
State: relaxed

```
Cr2AgAs
1.0
-1.431 -0.136 -2.576
-0.118 -2.958 0.222
-6.435 -0.951 3.625
Ag As Cr
1 1 2
Direct
0.000 0.705 0.467
0.500 0.530 0.812
0.000 0.926 0.023
0.500 0.338 0.198
```

Results
The calculation puts the energy relative to the elements at 0.9 eV/f.u. The size of the total moment is 1.04 μB/f.u. As for the crystal system: monoclinic. The total energy comes out at -25.85 eV per formula unit.

***

# 4
Material: CrAg2As
Method: DFT, PBE
State: relaxed

```
CrAg2As
1.0
-1.236 -2.346 -2.806
3.374 0.416 -1.834
1.714 -3.677 2.319
Ag As Cr
2 1 1
Direct
0.000 0.000 0.000
0.500 0.500 0.000
0.500 0.000 0.500
0.000 0.500 0.500
```

Results
The calculation puts the energy relative to the elements at 0.8 eV/f.u. The size of the total moment is 3.48 μB/f.u. As for the crystal system: tetragonal. The total energy comes out at -19.14 eV per formula unit.

***

# 5
Material: Cr2AgAs
Method: DFT, PBE
State: relaxed

```
Cr2AgAs
1.0
-0.095 -2.435 2.130
1.178 -2.009 -2.248
5.851 1.378 1.835
Ag As Cr
1 1 2
Direct
0.500 0.500 0.250
0.500 0.500 0.750
0.000 0.000 0.978
0.000 0.000 0.522
```

Results
The calculation puts the energy relative to the elements at 1.3 eV/f.u. The size of the total moment is 7.13 μB/f.u. As for the crystal system: tetragonal. The total energy comes out at -25.43 eV per formula unit.

***

# 6
Material: CrAgAs2
Method: DFT, PBE
State: relaxed

```
CrAgAs2
1.0
-0.023 -2.964 -3.782
1.836 -3.929 2.070
-3.771 2.505 1.611
Ag As Cr
1 2 1
Direct
0.750 0.250 0.500
0.000 0.000 0.000
0.500 0.500 0.000
0.250 0.750 0.500
```

Results
The calculation puts the energy relative to the elements at 1.0 eV/f.u. The size of the total moment is 3.55 μB/f.u. As for the crystal system: tetragonal. The total energy comes out at -20.81 eV per formula unit.

***

size of the total moment of number 3 (Cr2AgAs)? 1.04 μB/f.u.